No. 1
Density functional theory data (meta-GGA SCAN) for La2YHRh at its PBEsol-relaxed geometry.

## Properties
As for the total energy: -30.442 eV/atom. For the magnetic moment, the calculation gives 0.0 Bohr magnetons per cell.

Cell and atoms, written as POSCAR:
```
La2YHRh
1.0
-2.511 0.854 -3.755
0.825 -4.260 -1.521
-4.124 -1.649 2.383
Y H Rh La
1 1 1 2
Direct
0.000 0.000 0.500
0.000 0.000 0.000
0.500 0.500 0.500
0.000 0.500 0.000
0.500 0.000 0.000
```

=====

No. 2
Density functional theory data (meta-GGA SCAN) for LuAl3Pb2O8 at its PBEsol-relaxed geometry.

## Properties
The uncorrected formation energy comes out at -2812 meV/atom. For the magnetic moment, the calculation gives 0.0 Bohr magnetons per cell.

Cell and atoms, written as POSCAR:
```
LuAl3Pb2O8
1.0
9.378 0.000 0.000
0.000 9.378 0.000
0.000 0.000 9.378
Lu Al Pb O
4 12 8 32
Direct
0.250 0.750 0.250
0.750 0.250 0.250
0.750 0.750 0.750
0.250 0.250 0.750
0.500 0.000 0.250
0.750 0.500 0.000
0.250 0.500 0.000
0.000 0.250 0.500
0.000 0.750 0.500
0.500 0.000 0.750
0.000 0.500 0.250
0.750 0.000 0.500
0.250 0.000 0.500
0.500 0.250 0.000
0.500 0.750 0.000
0.000 0.500 0.750
0.365 0.365 0.365
0.865 0.135 0.865
0.135 0.865 0.865
0.865 0.865 0.135
0.365 0.635 0.635
0.635 0.635 0.365
0.635 0.365 0.635
0.135 0.135 0.135
0.516 0.162 0.162
0.516 0.838 0.838
0.162 0.162 0.516
0.838 0.162 0.484
0.162 0.516 0.162
0.838 0.484 0.162
0.016 0.662 0.338
0.016 0.338 0.662
0.984 0.662 0.662
0.338 0.662 0.016
0.662 0.984 0.662
0.662 0.016 0.338
0.662 0.338 0.016
0.338 0.016 0.662
0.662 0.662 0.984
0.338 0.338 0.984
0.338 0.984 0.338
0.838 0.516 0.838
0.162 0.484 0.838
0.162 0.838 0.484
0.838 0.838 0.516
0.484 0.838 0.162
0.484 0.162 0.838
0.984 0.338 0.338
0.615 0.615 0.615
0.115 0.885 0.115
0.115 0.115 0.885
0.885 0.115 0.115
0.385 0.385 0.615
0.615 0.385 0.385
0.385 0.615 0.385
0.885 0.885 0.885
```

=====

No. 3
Density functional theory data (meta-GGA SCAN) for Cr3NiP4 at its PBEsol-relaxed geometry.

## Properties
As for the energy relative to the elements: -0.557 eV/atom. For the magnetic moment, the calculation gives 2.2 Bohr magnetons per cell.

Cell and atoms, written as POSCAR:
```
Cr3NiP4
1.0
3.034 0.000 0.000
0.000 5.264 0.004
0.000 -0.005 5.887
Ni P Cr
1 4 3
Direct
0.000 0.493 0.695
0.000 0.309 0.067
0.000 0.818 0.440
0.500 0.690 0.933
0.500 0.186 0.563
0.000 0.992 0.810
0.500 0.508 0.296
0.500 0.005 0.196
```

=====

No. 4
Density functional theory data (meta-GGA SCAN) for TlZnRe at its PBEsol-relaxed geometry.

## Properties
As for the energy relative to the elements: 1.531 eV/atom. Its offset from the most stable computed form is 2.127 eV/f.u. For the magnetic moment, the calculation gives 2.2 Bohr magnetons per cell.

Cell and atoms, written as POSCAR:
```
TlZnRe
1.0
4.408 0.000 0.000
2.204 3.818 0.000
2.204 1.273 3.599
Re Tl Zn
1 1 1
Direct
0.500 0.500 0.500
0.750 0.750 0.750
0.000 0.000 0.000
```

=====

No. 5
Density functional theory data (meta-GGA SCAN) for Ba2MnTlCd at its PBEsol-relaxed geometry.

## Properties
As for the energy relative to the elements: 0.098 eV/atom. For the magnetic moment, the calculation gives 4.1 Bohr magnetons per cell.

Cell and atoms, written as POSCAR:
```
Ba2MnTlCd
1.0
4.982 0.000 0.000
0.000 6.398 0.000
0.000 0.000 6.398
Tl Mn Ba Cd
1 1 2 1
Direct
0.500 0.500 0.500
0.500 0.000 0.000
0.000 0.000 0.500
0.000 0.500 0.000
0.000 0.000 0.000
```

=====

No. 6
Density functional theory data (meta-GGA SCAN) for SrReBr at its PBEsol-relaxed geometry.

## Properties
The uncorrected formation energy comes out at 1229 meV/atom. For the magnetic moment, the calculation gives 4.0 Bohr magnetons per cell.

Cell and atoms, written as POSCAR:
```
SrReBr
1.0
5.218 0.000 0.000
2.609 4.519 0.000
2.609 1.506 4.261
Re Br Sr
1 1 1
Direct
0.500 0.500 0.500
0.000 0.000 0.000
0.250 0.250 0.250
```